Record 1
{
  "formula": "SrScTa",
  "functional": "PBE",
  "state": "optimized geometry",
  "spacegroup": "P3m1, No. 156",
  "final_energy_ev_per_atom": -5.9829,
  "n_ef_per_ev_atom": 0.84,
  "relative_energy_ev_per_fu": 0.355,
  "cell": [[-0.2395, 1.1864, -3.0210], [-2.4325, -1.7611, 1.2541], [-3.5579, 7.1010, 3.0707]],
  "species": ["Ta", "Sc", "Sr"],
  "frac_coords": [[0.6667, 0.3333, 0.6884], [0.0000, 0.0000, 0.9590], [0.3333, 0.6667, 0.3525]]
}

Record 2
{
  "formula": "Ga2CoAsBr",
  "functional": "PBE",
  "state": "optimized geometry",
  "e_form_raw_mev_per_atom": -167,
  "spacegroup": "P4/mmm, No. 123",
  "final_energy_ev_per_atom": -4.0637,
  "n_ef_per_ev_atom": 0.86,
  "cell": [[4.8010, 0.0000, 0.0000], [0.0000, 4.4056, 0.0000], [0.0000, 0.0000, 4.8010]],
  "species": ["Ga", "Co", "Br", "Ga", "As"],
  "frac_coords": [[0.5000, 0.0000, 0.0000], [0.0000, 0.0000, 0.0000], [0.5000, 0.5000, 0.5000], [0.0000, 0.0000, 0.5000], [0.0000, 0.5000, 0.0000]]
}

Record 3
{
  "formula": "K3Ce3PuO8",
  "functional": "PBE",
  "state": "optimized geometry",
  "e_form_raw_mev_per_atom": -2724,
  "spacegroup": "R-3m, No. 166",
  "final_energy_ev_per_atom": -7.7298,
  "n_ef_per_ev_atom": 1.07,
  "cell": [[7.2109, 0.0000, 0.0000], [-3.6055, 6.2447, -0.0220], [0.0000, -4.1419, 6.3420]],
  "species": ["O", "K", "Ce", "Ce", "O", "O", "O", "Ce", "O", "K", "K", "O", "O", "Pu", "O"],
  "frac_coords": [[0.7296, 0.4591, 0.6886], [0.0000, 0.5000, 0.0000], [0.5000, 0.0000, 0.5000], [0.5000, 0.5000, 0.5000], [0.7314, 0.9529, 0.6744], [0.2215, 0.9529, 0.6744], [0.2215, 0.4431, 0.6744], [0.0000, 0.5000, 0.5000], [0.2686, 0.0471, 0.3256], [0.0000, 0.0000, 0.0000], [0.5000, 0.5000, 0.0000], [0.2704, 0.5409, 0.3114], [0.7785, 0.5569, 0.3256], [0.0000, 0.0000, 0.5000], [0.7785, 0.0471, 0.3256]]
}

Question: What is the formula in the second record?
Answer: Ga2CoAsBr